DFT (PBE) results for an optimized crystal structure of NaPtCl3.

Summary:
magnetic moment: 2.000 μB/f.u.
crystal system: cubic
raw formation energy: 0.3024 eV per atom
calculated volume: 24.830 A^3/atom

Geometry as POSCAR:
```
NaPtCl3
1.0
4.989 0.000 0.000
0.000 4.989 0.000
0.000 0.000 4.989
Cl Pt Na
3 1 1
Cartesian
2.494 0.000 0.000
0.000 0.000 2.494
0.000 2.494 0.000
2.494 2.494 2.494
0.000 0.000 0.000
```